The following is a DFT calculation (PBE) of crystalline GdHoMgBi at its relaxed geometry.

- SG: F-43m, No. 216
- E: -25.4 eV per formula unit

Lattice parameters (Å, degrees): 5.431 5.431 5.431 60.00 60.00 60.00
Element x y z (fractional)
Gd (0.000, 0.000, 0.000)
Ho (0.500, 0.500, 0.500)
Mg (0.750, 0.750, 0.750)
Bi (0.250, 0.250, 0.250)

The following is a DFT calculation (PBE) of crystalline CsZrIN2 at its relaxed geometry.

- SG: P4/mmm, No. 123
- E: -26.9 eV per formula unit

Lattice parameters (Å, degrees): 4.555 4.555 6.049 90.00 90.00 90.00
Element x y z (fractional)
Cs (0.000, 0.000, 0.000)
Zr (0.500, 0.500, 0.500)
I (0.500, 0.500, 0.000)
N (0.000, 0.500, 0.500)
N (0.500, 0.000, 0.500)

The following is a DFT calculation (PBE) of crystalline Pa2Al2SbRu5 at its relaxed geometry.

- SG: P4/mbm, No. 127
- E: -81.6 eV per formula unit

Lattice parameters (Å, degrees): 9.843 9.843 3.579 90.00 90.00 90.00
Element x y z (fractional)
Pa (0.178, 0.322, 0.000)
Pa (0.322, 0.822, 0.000)
Pa (0.678, 0.178, 0.000)
Pa (0.822, 0.678, 0.000)
Al (0.119, 0.619, 0.000)
Al (0.381, 0.119, 0.000)
Al (0.619, 0.881, 0.000)
Al (0.881, 0.381, 0.000)
Sb (0.000, 0.000, 0.000)
Sb (0.500, 0.500, 0.000)
Ru (0.000, 0.500, 0.500)
Ru (0.083, 0.795, 0.500)
Ru (0.205, 0.083, 0.500)
Ru (0.295, 0.583, 0.500)
Ru (0.417, 0.295, 0.500)
Ru (0.500, 0.000, 0.500)
Ru (0.583, 0.705, 0.500)
Ru (0.705, 0.417, 0.500)
Ru (0.795, 0.917, 0.500)
Ru (0.917, 0.205, 0.500)

The following is a DFT calculation (PBE) of crystalline RbTmBeF6 at its relaxed geometry.

- SG: P2_1/m, No. 11
- E: -53.0 eV per formula unit

Lattice parameters (Å, degrees): 6.531 5.799 7.288 90.00 114.31 90.00
Element x y z (fractional)
Rb (0.087, 0.250, 0.214)
Rb (0.913, 0.750, 0.786)
Tm (0.398, 0.250, 0.824)
Tm (0.602, 0.750, 0.176)
Be (0.231, 0.750, 0.464)
Be (0.769, 0.250, 0.536)
F (0.007, 0.250, 0.719)
F (0.254, 0.531, 0.596)
F (0.254, 0.969, 0.596)
F (0.323, 0.501, 0.023)
F (0.323, 0.999, 0.023)
F (0.412, 0.750, 0.377)
F (0.588, 0.250, 0.623)
F (0.677, 0.001, 0.977)
F (0.677, 0.499, 0.977)
F (0.746, 0.031, 0.404)
F (0.746, 0.469, 0.404)
F (0.993, 0.750, 0.281)

The following is a DFT calculation (PBE) of crystalline Ba5ThS8 at its relaxed geometry.

- SG: I-4, No. 82
- E: -75.6 eV per formula unit

Lattice parameters (Å, degrees): 8.041 8.041 8.041 109.33 109.33 109.75
Element x y z (fractional)
Ba (0.000, 0.000, 0.000)
Ba (0.129, 0.248, 0.642)
Ba (0.513, 0.871, 0.119)
Ba (0.606, 0.487, 0.358)
Ba (0.752, 0.394, 0.881)
Th (0.250, 0.750, 0.500)
S (0.030, 0.616, 0.700)
S (0.210, 0.487, 0.117)
S (0.370, 0.093, 0.883)
S (0.384, 0.084, 0.414)
S (0.513, 0.630, 0.723)
S (0.670, 0.970, 0.586)
S (0.907, 0.790, 0.277)
S (0.916, 0.330, 0.300)

The following is a DFT calculation (PBE) of crystalline ThCu10Ag at its relaxed geometry.

- SG: Pmmm, No. 47
- E: -51.5 eV per formula unit

Lattice parameters (Å, degrees): 4.126 4.986 8.596 90.00 90.00 90.00
Element x y z (fractional)
Th (0.000, 0.000, 0.000)
Cu (0.000, 0.000, 0.346)
Cu (0.000, 0.000, 0.654)
Cu (0.000, 0.500, 0.187)
Cu (0.000, 0.500, 0.813)
Cu (0.500, 0.000, 0.500)
Cu (0.500, 0.248, 0.251)
Cu (0.500, 0.248, 0.749)
Cu (0.500, 0.500, 0.000)
Cu (0.500, 0.752, 0.251)
Cu (0.500, 0.752, 0.749)
Ag (0.000, 0.500, 0.500)

The following is a DFT calculation (PBE) of crystalline BaNi2Mo at its relaxed geometry.

- SG: P4/mmm, No. 123
- E: -21.0 eV per formula unit

Lattice parameters (Å, degrees): 4.988 4.988 2.956 90.00 90.00 90.00
Element x y z (fractional)
Ba (0.000, 0.000, 0.000)
Ni (0.000, 0.500, 0.500)
Ni (0.500, 0.000, 0.500)
Mo (0.500, 0.500, 0.000)

The following is a DFT calculation (PBE) of crystalline BaNa2Ca2 at its relaxed geometry.

- SG: I4/mmm, No. 139
- E: -7.7 eV per formula unit

Lattice parameters (Å, degrees): 10.163 10.163 10.163 151.86 151.86 40.22
Element x y z (fractional)
Ba (0.000, 0.000, 0.000)
Na (0.250, 0.750, 0.500)
Na (0.750, 0.250, 0.500)
Ca (0.398, 0.398, 0.000)
Ca (0.602, 0.602, 0.000)

The following is a DFT calculation (PBE) of crystalline Sm6CdFe2 at its relaxed geometry.

- SG: Immm, No. 71
- E: -46.6 eV per formula unit

Lattice parameters (Å, degrees): 8.588 8.588 8.588 111.77 109.42 107.26
Element x y z (fractional)
Sm (0.010, 0.224, 0.786)
Sm (0.187, 0.291, 0.477)
Sm (0.187, 0.709, 0.896)
Sm (0.312, 0.017, 0.705)
Sm (0.312, 0.607, 0.295)
Sm (0.438, 0.224, 0.214)
Sm (0.562, 0.776, 0.786)
Sm (0.688, 0.393, 0.705)
Sm (0.688, 0.983, 0.295)
Sm (0.813, 0.291, 0.104)
Sm (0.813, 0.709, 0.523)
Sm (0.990, 0.776, 0.214)
Cd (0.000, 0.000, 0.000)
Cd (0.500, 0.500, 0.000)
Fe (0.107, 0.607, 0.500)
Fe (0.388, 0.000, 0.388)
Fe (0.612, 0.000, 0.612)
Fe (0.893, 0.393, 0.500)

The following is a DFT calculation (PBE) of crystalline CeTl2In at its relaxed geometry.

- SG: P4/mmm, No. 123
- E: -14.5 eV per formula unit

Lattice parameters (Å, degrees): 4.796 4.796 4.776 90.00 90.00 90.00
Element x y z (fractional)
Ce (0.000, 0.000, 0.000)
Tl (0.000, 0.500, 0.500)
Tl (0.500, 0.000, 0.500)
In (0.500, 0.500, 0.000)

The following is a DFT calculation (PBE) of crystalline FeNiSb at its relaxed geometry.

- SG: I4mm, No. 107
- E: -17.9 eV per formula unit

Lattice parameters (Å, degrees): 4.555 4.555 4.555 136.12 136.12 63.80
Element x y z (fractional)
Fe (0.000, 0.000, 0.000)
Ni (0.339, 0.339, 0.000)
Sb (0.669, 0.669, 0.000)

The following is a DFT calculation (PBE) of crystalline Ag2Sb at its relaxed geometry.

- SG: Immm, No. 71
- E: -9.6 eV per formula unit

Lattice parameters (Å, degrees): 5.115 5.115 5.115 139.65 132.17 64.31
Element x y z (fractional)
Ag (0.167, 0.167, 0.000)
Ag (0.833, 0.833, 0.000)
Sb (0.500, 0.500, 0.000)